Entry 1:
VASP calculation (PBE-GGA) on crystalline DyOsPbO6 at its relaxed geometry.

Structure (CIF):
```
data_DyOsPbO6
_cell_length_a 7.110
_cell_length_b 7.257
_cell_length_c 9.876
_cell_angle_alpha 90.00
_cell_angle_beta 90.00
_cell_angle_gamma 90.00
_symmetry_space_group_name_H-M 'I m m a'
_symmetry_Int_Tables_number 74
_symmetry_space_group_name_Hall '-I 2b 2'
loop_
_atom_site_label
_atom_site_fract_x
_atom_site_fract_y
_atom_site_fract_z
Dy1 0.250 0.250 0.250
Os1 0.000 0.000 0.000
Pb1 0.000 0.250 0.620
O1 0.000 0.250 0.083
O2 0.000 0.250 0.386
O3 0.187 0.047 0.873
```

Properties
Its total magnetization is 0.11 μB per atom. The value obtained for the final energy is -7.107 eV/atom.



Entry 2:
VASP calculation (PBE-GGA) on crystalline HfAlZn3 at its relaxed geometry.

Structure (CIF):
```
data_HfAlZn3
_cell_length_a 5.204
_cell_length_b 5.204
_cell_length_c 5.204
_cell_angle_alpha 90.00
_cell_angle_beta 90.00
_cell_angle_gamma 90.00
_symmetry_space_group_name_H-M 'P m -3 m'
_symmetry_Int_Tables_number 221
_symmetry_space_group_name_Hall '-P 4 2 3'
loop_
_atom_site_label
_atom_site_fract_x
_atom_site_fract_y
_atom_site_fract_z
Hf1 0.000 0.000 0.000
Al1 0.500 0.500 0.500
Zn1 0.000 0.000 0.500
```

Properties
The calculated formation energy is 1.10 eV per atom. Its total magnetization is 0.01 μB per atom. The calculation puts the energy relative to the lowest polymorph listed for this composition at 1208 meV per atom.



Entry 3:
VASP calculation (PBE-GGA) on crystalline TeAuSe at its relaxed geometry.

Structure (CIF):
```
data_TeAuSe
_cell_length_a 4.0813
_cell_length_b 4.0813
_cell_length_c 4.9773
_cell_angle_alpha 90.00
_cell_angle_beta 90.00
_cell_angle_gamma 120.00
_symmetry_space_group_name_H-M 'P 3 m 1'
_symmetry_Int_Tables_number 156
loop_
_symmetry_equiv_pos_as_xyz
'x,y,z'
'-y,x-y,z'
'-x+y,-x,z'
'-y,-x,z'
'-x+y,y,z'
'x,x-y,z'
loop_
_atom_site_label
_atom_site_fract_x
_atom_site_fract_y
_atom_site_fract_z
Te1 0.0000 0.0000 0.0000
Au1 0.6667 0.3333 0.3076
Se1 0.3333 0.6667 0.5895
```

Properties
Its total magnetization is 0.00 μB per atom. The calculation puts the energy relative to the lowest polymorph listed for this composition at 0 meV per atom.



Entry 4:
VASP calculation (PBE-GGA) on crystalline CsTl2TeF at its relaxed geometry.

Structure (CIF):
```
data_CsTl2TeF
_cell_length_a 8.014
_cell_length_b 4.797
_cell_length_c 9.933
_cell_angle_alpha 90.00
_cell_angle_beta 97.42
_cell_angle_gamma 90.00
_symmetry_space_group_name_H-M 'P 1 21/m 1'
_symmetry_Int_Tables_number 11
loop_
_symmetry_equiv_pos_as_xyz
'x,y,z'
'-x,-y,-z'
'-x,y+1/2,-z'
'x,-y+1/2,z'
loop_
_atom_site_label
_atom_site_fract_x
_atom_site_fract_y
_atom_site_fract_z
Cs1 0.212 0.250 0.455
Tl1 0.124 0.250 0.869
Tl2 0.356 0.750 0.117
Te1 0.382 0.750 0.786
F1 0.036 0.750 0.355
```

Properties
Its total magnetization is 0.00 μB per atom. The value obtained for the final energy is -3.327 eV/atom.



Entry 5:
VASP calculation (PBE-GGA) on crystalline La2MgBe at its relaxed geometry.

Structure (CIF):
```
data_La2MgBe
_cell_length_a 3.542
_cell_length_b 4.739
_cell_length_c 6.627
_cell_angle_alpha 90.00
_cell_angle_beta 105.40
_cell_angle_gamma 90.00
_symmetry_space_group_name_H-M 'P 1 m 1'
_symmetry_Int_Tables_number 6
loop_
_symmetry_equiv_pos_as_xyz
'x,y,z'
'x,-y,z'
loop_
_atom_site_label
_atom_site_fract_x
_atom_site_fract_y
_atom_site_fract_z
La1 0.000 0.000 0.000
La2 0.321 0.500 0.644
Mg1 0.608 0.500 0.218
Be1 0.722 0.000 0.443
```

Properties
The calculated formation energy is 0.16 eV per atom. Its total magnetization is 0.00 μB per atom. The calculation puts the energy relative to the lowest polymorph listed for this composition at 121 meV per atom.



Entry 6:
VASP calculation (PBE-GGA) on crystalline Tl2SeCl2F4 at its relaxed geometry.

Structure (CIF):
```
data_Tl2SeCl2F4
_cell_length_a 6.732
_cell_length_b 6.732
_cell_length_c 8.961
_cell_angle_alpha 90.00
_cell_angle_beta 90.00
_cell_angle_gamma 90.00
_symmetry_space_group_name_H-M 'I 4/m m m'
_symmetry_Int_Tables_number 139
_symmetry_space_group_name_Hall '-I 4 2'
loop_
_atom_site_label
_atom_site_fract_x
_atom_site_fract_y
_atom_site_fract_z
Tl1 0.000 0.500 0.250
Se1 0.000 0.000 0.000
Cl1 0.000 0.000 0.275
F1 0.205 0.205 0.000
```

Properties
Its total magnetization is 0.00 μB per atom. The value obtained for the final energy is -3.562 eV/atom.



V (Å³ per atom)
14.16; 28.18; 23.93; 37.87; 26.81; 22.56